Zr2BeCu2 | PBE | relaxed

extended XYZ file:
```
10
Lattice="-2.6275 -4.5939 -3.1016 0.3817 -3.5742 4.9706 -3.8665 1.3537 1.2704" Properties=species:S:1:pos:R:3 pbc="T T T"
Be 0.0000 0.0000 0.0000
Be -1.1229 -4.0840 0.9345
Cu -0.6164 -4.7231 3.1571
Cu -2.0137 -6.2377 0.5182
Cu -1.6294 -3.4449 -1.2881
Cu -0.2321 -1.9304 1.3508
Zr -2.1329 -2.5306 3.4455
Zr -3.3885 -5.3716 2.6513
Zr -3.9793 -4.2838 -0.3061
Zr -2.7237 -1.4428 0.4881
```

Results
- Formation energy: -43 meV per atom
- VASP energy: -0.4297 Ry per atom
- Space-group type: P4/mbm, No. 127
- Total magnetization: 0.0 μB per formula unit